The following is a DFT calculation (PBE-GGA) of DyH after structural relaxation.

The calculation puts the total energy at -4.341 eV per atom. Its crystal system is hexagonal.

The space group is P6_3/mmc (No. 194) and the conventional cell measures 3.6209, 3.6209 and 5.4092 Å, with angles of 90.00, 90.00 and 120.00 degrees. The asymmetric unit holds Dy at (0.3333, 0.6667, 0.2500) and H at (0.0000, 0.0000, 0.0000).